Record 1
Material: MgCo2Cl
Method: DFT, GGA-PBE
State: optimized geometry

Output
E above lowest polymorph ... 0.416 eV/atom
Fermi-level density of states ... 0.68 states/eV/atom
Formation energy without anion corrections ... 344 meV per atom
Crystal system ... tetragonal

Lattice parameters (Å, degrees): 3.3511 3.3511 5.6807 90.00 90.00 90.00
Last column: nearest neighbours and their distance in Å.
Space group P4/mmm (No. 123)
Symmetry-distinct sites (fractional):
Mg: 0.0000 0.0000 0.0000 x1  8 Co 2.62, 2 Cl 2.84
Co: 0.5000 0.5000 0.1962 x2  1 Co 2.23
Cl: 0.0000 0.0000 0.5000 x1  2 Mg 2.84, 8 Co 2.93

---

Record 2
Material: SmHIBr
Method: DFT, GGA-PBE
State: optimized geometry

Output
Fermi-level density of states ... 0.00 states/eV/atom
VASP energy ... -33.594 eV for the cell shown
Crystal system ... monoclinic

Lattice parameters (Å, degrees): 6.9636 4.0206 8.2395 90.00 106.47 90.00
Last column: nearest neighbours and their distance in Å.
Space group Cm (No. 8)
Symmetry-distinct sites (fractional):
Sm: 0.0000 0.0000 0.0000 x2  3 H 2.32
H: 0.3349 0.0000 0.0047 x2  3 Sm 2.32
I: 0.2588 0.5000 0.2746 x2  3 H 3.15, 3 Sm 3.18
Br: 0.0858 0.5000 0.7591 x2  3 Sm 3.00, 3 H 3.03

---

> Which of these has the lowest Fermi-level density of states?

SmHIBr

---

> Number 1 is which compound?

MgCo2Cl

---

> Which of these has the highest Fermi-level density of states?

MgCo2Cl

---

> Number 2 is which compound?

SmHIBr